(1)
Here is an optimized crystal structure of PmSmSe2 from Alexandria via LeMat-Bulk. Energies are from GGA-PBE.

Output
Magnetic moment = 0.00 μB per formula unit
V = 207.9 Å³/cell
Density = 7.242 g/cm³
DOS at the Fermi energy = 0.45 states/eV per atom
ΔE_f (raw) = -1.818 eV/atom
ΔE to the lowest computed polymorph = 0.008 eV per atom

Unit cell a=4.1193 b=4.1193 c=14.1440 alpha=90.00 beta=90.00 gamma=120.00
Last column: nearest neighbours and their distance in Å.
Space group P6_3/mmc (No. 194)
Asymmetric unit:
Pm (0.3333, 0.6667, 0.2500) (multiplicity 2)  6 Se 2.99
Sm (0.0000, 0.0000, 0.0000) (multiplicity 2)  6 Se 2.94
Se (0.3333, 0.6667, 0.6222) (multiplicity 4)  3 Sm 2.94, 3 Pm 2.99

---

(2)
Here is an optimized crystal structure of Pm4SmSe5 from Alexandria via LeMat-Bulk. Energies are from GGA-PBE.

Output
Magnetic moment = 0.00 μB per formula unit
V = 781.4 Å³/cell
Density = 7.173 g/cm³
DOS at the Fermi energy = 0.53 states/eV per atom
ΔE_f (raw) = -1.830 eV/atom
ΔE to the lowest computed polymorph = 0.000 eV per atom

Unit cell a=4.2060 b=4.2060 c=51.0032 alpha=90.00 beta=90.00 gamma=120.00
Last column: nearest neighbours and their distance in Å.
Space group R-3m (No. 166, hexagonal axes)
Asymmetric unit:
Pm (0.0000, 0.0000, 0.1002) (multiplicity 6)  6 Se 2.97
Pm (0.0000, 0.0000, 0.2999) (multiplicity 6)  6 Se 2.97
Sm (0.0000, 0.0000, 0.5000) (multiplicity 3)  6 Se 2.95
Se (0.0000, 0.0000, 0.0000) (multiplicity 3)  6 Pm 2.97
Se (0.0000, 0.0000, 0.1996) (multiplicity 6)  3 Sm 2.95, 3 Pm 2.97
Se (0.0000, 0.0000, 0.4002) (multiplicity 6)  6 Pm 2.97

---

(3)
Here is an optimized crystal structure of PmSm6Se8 from Alexandria via LeMat-Bulk. Energies are from GGA-PBE.

Output
Magnetic moment = 0.00 μB per formula unit
V = 1672.6 Å³/cell
Density = 5.000 g/cm³
DOS at the Fermi energy = 0.58 states/eV per atom
ΔE_f (raw) = -1.474 eV/atom
ΔE to the lowest computed polymorph = 0.394 eV per atom

Unit cell a=12.4017 b=12.4017 c=12.5574 alpha=90.00 beta=90.00 gamma=120.00
Last column: nearest neighbours and their distance in Å.
Space group R-3 (No. 148, hexagonal axes)
Asymmetric unit:
Pm (0.0000, 0.0000, 0.0000) (multiplicity 3)  2 Se 2.83
Sm (0.0035, 0.1862, 0.6288) (multiplicity 18)  5 Se 2.84-2.96
Se (0.0000, 0.0000, 0.2250) (multiplicity 6)  1 Pm 2.83, 3 Sm 2.93
Se (0.9999, 0.2602, 0.4111) (multiplicity 18)  4 Sm 2.84-2.96

---

(4)
Here is an optimized crystal structure of Pm4SmSe5 from Alexandria via LeMat-Bulk. Energies are from GGA-PBE.

Output
Magnetic moment = 0.00 μB per formula unit
V = 520.8 Å³/cell
Density = 7.174 g/cm³
DOS at the Fermi energy = 0.50 states/eV per atom
ΔE_f (raw) = -1.828 eV/atom
ΔE to the lowest computed polymorph = 0.002 eV per atom

Unit cell a=4.1920 b=5.9181 c=20.9947 alpha=90.00 beta=90.00 gamma=90.00
Last column: nearest neighbours and their distance in Å.
Space group Immm (No. 71)
Asymmetric unit:
Pm (0.0000, 0.0000, 0.1001) (multiplicity 4)  6 Se 2.96-2.97
Pm (0.0000, 0.0000, 0.3003) (multiplicity 4)  6 Se 2.96-2.97
Sm (0.0000, 0.0000, 0.5000) (multiplicity 2)  6 Se 2.96
Se (0.0000, 0.5000, 0.0993) (multiplicity 4)  2 Sm 2.96, 4 Pm 2.96-2.97
Se (0.0000, 0.5000, 0.2998) (multiplicity 4)  6 Pm 2.96-2.97
Se (0.0000, 0.5000, 0.5000) (multiplicity 2)  2 Sm 2.96, 4 Pm 2.97

---

(5)
Here is an optimized crystal structure of PmSm4Se7 from Alexandria via LeMat-Bulk. Energies are from GGA-PBE.

Output
Magnetic moment = 0.00 μB per formula unit
V = 671.2 Å³/cell
Density = 6.428 g/cm³
DOS at the Fermi energy = 0.14 states/eV per atom
ΔE_f (raw) = -1.877 eV/atom

Unit cell a=13.7425 b=4.0627 c=12.4215 alpha=90.00 beta=104.57 gamma=90.00
Last column: nearest neighbours and their distance in Å.
Space group Cm (No. 8)
Asymmetric unit:
Pm (0.0000, 0.0000, 0.0000) (multiplicity 2)  6 Se 2.88-3.04
Sm (0.1132, 0.0000, 0.4218) (multiplicity 2)  6 Se 2.87-2.94
Sm (0.2254, 0.0000, 0.8428) (multiplicity 2)  6 Se 2.86-3.03
Sm (0.3132, 0.5000, 0.2338) (multiplicity 2)  7 Se 2.94-3.14
Sm (0.4130, 0.0000, 0.6101) (multiplicity 2)  7 Se 2.94-3.15
Se (0.0718, 0.0000, 0.6370) (multiplicity 2)  4 Sm 2.87-2.94
Se (0.1126, 0.5000, 0.9201) (multiplicity 2)  2 Sm 2.86, 2 Pm 2.88
Se (0.1544, 0.0000, 0.2066) (multiplicity 2)  3 Sm 2.87-2.94, 1 Pm 2.89
Se (0.2731, 0.5000, 0.4719) (multiplicity 2)  5 Sm 2.94-3.14
Se (0.3532, 0.5000, 0.7718) (multiplicity 2)  4 Sm 2.96-3.11, 1 Pm 3.04
Se (0.3706, 0.0000, 0.0709) (multiplicity 2)  2 Pm 2.97, 3 Sm 3.03-3.11
Se (0.4533, 0.0000, 0.3716) (multiplicity 2)  5 Sm 2.94-3.15

---

(6)
Here is an optimized crystal structure of Pm2SmSe3 from Alexandria via LeMat-Bulk. Energies are from GGA-PBE.

Output
Magnetic moment = 0.00 μB per formula unit
V = 312.5 Å³/cell
Density = 7.197 g/cm³
DOS at the Fermi energy = 0.49 states/eV per atom
ΔE_f (raw) = -1.818 eV/atom
ΔE to the lowest computed polymorph = 0.010 eV per atom

Unit cell a=4.1366 b=4.1366 c=21.0887 alpha=90.00 beta=90.00 gamma=120.00
Last column: nearest neighbours and their distance in Å.
Space group P6_3/mmc (No. 194)
Asymmetric unit:
Pm (0.3333, 0.6667, 0.0825) (multiplicity 4)  6 Se 2.95-2.96
Sm (0.0000, 0.0000, 0.2500) (multiplicity 2)  6 Se 2.98
Se (0.0000, 0.0000, 0.0000) (multiplicity 2)  6 Pm 2.95
Se (0.3333, 0.6667, 0.6658) (multiplicity 4)  3 Pm 2.96, 3 Sm 2.98

---

(7)
Here is an optimized crystal structure of PmSmSe from Alexandria via LeMat-Bulk. Energies are from GGA-PBE.

Output
Magnetic moment = 0.00 μB per formula unit
V = 91.7 Å³/cell
Density = 6.780 g/cm³
DOS at the Fermi energy = 0.20 states/eV per atom
ΔE_f (raw) = -1.119 eV/atom
ΔE to the lowest computed polymorph = 0.000 eV per atom

Unit cell a=3.9722 b=3.9722 c=6.7094 alpha=90.00 beta=90.00 gamma=120.00
Last column: nearest neighbours and their distance in Å.
Space group P3m1 (No. 156)
Asymmetric unit:
Pm (0.0000, 0.0000, 0.0000) (multiplicity 1)  3 Se 2.95
Sm (0.3333, 0.6667, 0.4501) (multiplicity 1)  3 Se 2.94
Se (0.6667, 0.3333, 0.7232) (multiplicity 1)  3 Sm 2.94, 3 Pm 2.95

---

(8)
Here is an optimized crystal structure of PmSm4Se4 from Alexandria via LeMat-Bulk. Energies are from GGA-PBE.

Output
Magnetic moment = 0.00 μB per formula unit
V = 501.0 Å³/cell
Density = 7.042 g/cm³
DOS at the Fermi energy = 0.64 states/eV per atom
ΔE_f (raw) = -1.585 eV/atom

Unit cell a=9.2424 b=9.2424 c=5.8649 alpha=90.00 beta=90.00 gamma=90.00
Last column: nearest neighbours and their distance in Å.
Space group I4/m (No. 87)
Asymmetric unit:
Pm (0.0000, 0.0000, 0.0000) (multiplicity 2)  4 Se 2.94
Sm (0.1033, 0.7004, 0.5000) (multiplicity 8)  5 Se 2.89-2.93
Se (0.0981, 0.6973, 0.0000) (multiplicity 8)  5 Sm 2.89-2.93, 1 Pm 2.94

---

(9)
Here is an optimized crystal structure of PmSm2Se4 from Alexandria via LeMat-Bulk. Energies are from GGA-PBE.

Output
Magnetic moment = 0.00 μB per formula unit
V = 787.7 Å³/cell
Density = 6.422 g/cm³
DOS at the Fermi energy = 0.31 states/eV per atom
ΔE_f (raw) = -1.859 eV/atom
ΔE to the lowest computed polymorph = 0.000 eV per atom

Unit cell a=4.0642 b=13.7938 c=14.0505 alpha=90.00 beta=90.00 gamma=90.00
Last column: nearest neighbours and their distance in Å.
Space group Cmcm (No. 63)
Asymmetric unit:
Pm (0.0000, 0.1262, 0.2500) (multiplicity 4)  6 Se 2.96-3.02
Sm (0.0000, 0.3699, 0.0697) (multiplicity 8)  6 Se 2.88-2.99
Se (0.0000, 0.0000, 0.0000) (multiplicity 4)  4 Sm 2.88
Se (0.0000, 0.2767, 0.6226) (multiplicity 8)  3 Sm 2.96-2.99, 2 Pm 3.02
Se (0.0000, 0.4706, 0.2500) (multiplicity 4)  2 Sm 2.89, 2 Pm 2.96

---

(10)
Here is an optimized crystal structure of Pm5SmSe6 from Alexandria via LeMat-Bulk. Energies are from GGA-PBE.

Output
Magnetic moment = 0.00 μB per formula unit
V = 625.0 Å³/cell
Density = 7.168 g/cm³
DOS at the Fermi energy = 0.42 states/eV per atom
ΔE_f (raw) = -1.834 eV/atom

Unit cell a=7.2588 b=12.6104 c=7.2499 alpha=90.00 beta=109.64 gamma=90.00
Last column: nearest neighbours and their distance in Å.
Space group C2/m (No. 12)
Asymmetric unit:
Pm (0.0000, 0.0000, 0.0000) (multiplicity 2)  6 Se 2.96-2.97
Pm (0.0000, 0.1669, 0.5000) (multiplicity 4)  6 Se 2.96-2.97
Pm (0.0000, 0.3325, 0.0000) (multiplicity 4)  6 Se 2.96-2.97
Sm (0.0000, 0.5000, 0.5000) (multiplicity 2)  6 Se 2.95-2.96
Se (0.2490, 0.3341, 0.7491) (multiplicity 8)  1 Sm 2.95, 5 Pm 2.96-2.97
Se (0.2488, 0.5000, 0.2504) (multiplicity 4)  1 Sm 2.96, 5 Pm 2.97

---

(11)
Here is an optimized crystal structure of Pm5Sm3Se8 from Alexandria via LeMat-Bulk. Energies are from GGA-PBE.

Output
Magnetic moment = 0.00 μB per formula unit
V = 1247.5 Å³/cell
Density = 7.219 g/cm³
DOS at the Fermi energy = 0.69 states/eV per atom
ΔE_f (raw) = -1.823 eV/atom

Unit cell a=8.3804 b=8.3804 c=20.5107 alpha=90.00 beta=90.00 gamma=120.00
Last column: nearest neighbours and their distance in Å.
Space group R-3m (No. 166, hexagonal axes)
Asymmetric unit:
Pm (0.0000, 0.0000, 0.0000) (multiplicity 3)  6 Se 2.96
Pm (0.0000, 0.0000, 0.5000) (multiplicity 3)  6 Se 2.96
Pm (0.0000, 0.5000, 0.0000) (multiplicity 9)  6 Se 2.97
Sm (0.0000, 0.5000, 0.5000) (multiplicity 9)  6 Se 2.95
Se (0.0000, 0.0000, 0.2492) (multiplicity 6)  3 Sm 2.95, 3 Pm 2.97
Se (0.0010, 0.5005, 0.7505) (multiplicity 18)  2 Sm 2.95, 4 Pm 2.96-2.97

---

(12)
Here is an optimized crystal structure of PmSmSnSe from Alexandria via LeMat-Bulk. Energies are from GGA-PBE.

Output
Magnetic moment = 0.00 μB per formula unit
V = 116.6 Å³/cell
Density = 7.020 g/cm³
DOS at the Fermi energy = 0.19 states/eV per atom
ΔE_f (raw) = -1.290 eV/atom

Unit cell a=4.3548 b=4.3548 c=6.1500 alpha=90.00 beta=90.00 gamma=90.00
Last column: nearest neighbours and their distance in Å.
Space group P4/mmm (No. 123)
Asymmetric unit:
Pm (0.0000, 0.0000, 0.0000) (multiplicity 1)  2 Se 3.08, 4 Sn 3.08
Sm (0.5000, 0.5000, 0.5000) (multiplicity 1)  2 Sn 3.08, 4 Se 3.08
Sn (0.5000, 0.5000, 0.0000) (multiplicity 1)  2 Sm 3.08, 4 Pm 3.08
Se (0.0000, 0.0000, 0.5000) (multiplicity 1)  2 Pm 3.08, 4 Sm 3.08

---

Question: Which of these has the highest ΔE_f (raw)?
Answer: PmSmSe